Record 1
DFT (PBE-GGA) results for a relaxed structure of B5W.

Total DFT energy (no corrections)   -6.853 eV per atom
Theoretical density   8.25 Mg/m³
SG   No. 65

Lattice parameters (Å, degrees): 5.3709 5.3709 2.9686 90.00 90.00 146.01
Atoms (fractional coordinates):
1 B 0.0000 0.0000 0.0000
2 B 0.1768 0.8232 0.5000
3 B 0.2942 0.7058 0.0000
4 B 0.7058 0.2942 0.0000
5 B 0.8232 0.1768 0.5000
6 W 0.5000 0.5000 0.5000

=====

Record 2
DFT (PBE-GGA) results for a relaxed structure of Tb2YHo6.

Total DFT energy (no corrections)   -4.682 eV per atom
Theoretical density   8.17 Mg/m³
SG   No. 15

Lattice parameters (Å, degrees): 10.2692 10.2692 6.1202 91.75 91.75 118.23
Atoms (fractional coordinates):
1 Tb 0.1597 0.3359 0.0156
2 Tb 0.3359 0.1597 0.5156
3 Tb 0.6641 0.8403 0.4844
4 Tb 0.8403 0.6641 0.9844
5 Y 0.2636 0.7364 0.2500
6 Y 0.7364 0.2636 0.7500
7 Ho 0.0048 0.8252 0.4931
8 Ho 0.0909 0.5753 0.7435
9 Ho 0.1748 0.9952 0.0069
10 Ho 0.3375 0.4878 0.5112
11 Ho 0.4247 0.9091 0.7565
12 Ho 0.4878 0.3375 0.0112
13 Ho 0.5122 0.6625 0.9888
14 Ho 0.5753 0.0909 0.2435
15 Ho 0.6625 0.5122 0.4888
16 Ho 0.8252 0.0048 0.9931
17 Ho 0.9091 0.4247 0.2565
18 Ho 0.9952 0.1748 0.5069

=====

Record 3
DFT (PBE-GGA) results for a relaxed structure of Sr2UPtSe5.

Total DFT energy (no corrections)   -5.554 eV per atom
Formation energy (no corrections)   -127.22 kJ per mole of atoms
Theoretical density   6.95 Mg/m³
SG   No. 36

Lattice parameters (Å, degrees): 9.3107 9.3107 12.9782 90.00 90.00 154.77
Atoms (fractional coordinates):
1 Sr 0.1072 0.8928 0.5000
2 Sr 0.1232 0.8768 0.8539
3 Sr 0.8768 0.1232 0.3539
4 Sr 0.8928 0.1072 0.0000
5 U 0.1917 0.8083 0.1763
6 U 0.8083 0.1917 0.6763
7 Pt 0.4299 0.5701 0.5817
8 Pt 0.5701 0.4299 0.0817
9 Se 0.0395 0.9605 0.1838
10 Se 0.2945 0.7055 0.5249
11 Se 0.3048 0.6952 0.8273
12 Se 0.3449 0.6551 0.1744
13 Se 0.4979 0.5021 0.4114
14 Se 0.5021 0.4979 0.9114
15 Se 0.6551 0.3449 0.6744
16 Se 0.6952 0.3048 0.3273
17 Se 0.7055 0.2945 0.0249
18 Se 0.9605 0.0395 0.6838

=====

Record 4
DFT (PBE-GGA) results for a relaxed structure of TaVGe2.

Total DFT energy (no corrections)   -7.490 eV per atom
Theoretical density   9.92 Mg/m³
SG   No. 225

Lattice parameters (Å, degrees): 4.4696 4.4696 4.4696 60.00 60.00 60.00
Atoms (fractional coordinates):
1 Ta 0.0000 0.0000 0.0000
2 V 0.5000 0.5000 0.5000
3 Ge 0.2500 0.2500 0.2500
4 Ge 0.7500 0.7500 0.7500

=====

Record 5
DFT (PBE-GGA) results for a relaxed structure of ZnNi2Pt2.

Total DFT energy (no corrections)   -5.005 eV per atom
Theoretical density   13.18 Mg/m³
SG   No. 127

Lattice parameters (Å, degrees): 7.0942 7.0942 2.8684 90.00 90.00 90.00
Atoms (fractional coordinates):
1 Zn 0.0000 0.0000 0.0000
2 Zn 0.5000 0.5000 0.0000
3 Ni 0.1558 0.3442 0.5000
4 Ni 0.3442 0.8442 0.5000
5 Ni 0.6558 0.1558 0.5000
6 Ni 0.8442 0.6558 0.5000
7 Pt 0.1425 0.6425 0.0000
8 Pt 0.3575 0.1425 0.0000
9 Pt 0.6425 0.8575 0.0000
10 Pt 0.8575 0.3575 0.0000

=====

Record 6
DFT (PBE-GGA) results for a relaxed structure of TiAl4Pd2Rh.

Total DFT energy (no corrections)   -5.778 eV per atom
Theoretical density   6.63 Mg/m³
SG   No. 166

Lattice parameters (Å, degrees): 7.7345 7.7345 7.7345 32.39 32.39 32.39
Atoms (fractional coordinates):
1 Ti 0.0000 0.0000 0.0000
2 Al 0.1276 0.1276 0.1276
3 Al 0.3828 0.3828 0.3828
4 Al 0.6172 0.6172 0.6172
5 Al 0.8724 0.8724 0.8724
6 Pd 0.2484 0.2484 0.2484
7 Pd 0.7516 0.7516 0.7516
8 Rh 0.5000 0.5000 0.5000

=====

Record 7
DFT (PBE-GGA) results for a relaxed structure of Pr2NdOsN4.

Total DFT energy (no corrections)   -8.097 eV per atom
Formation energy (no corrections)   -71.37 kJ per mole of atoms
Theoretical density   8.52 Mg/m³
SG   No. 63

Lattice parameters (Å, degrees): 6.3215 6.3215 12.2863 90.00 90.00 147.73
Atoms (fractional coordinates):
1 Pr 0.1322 0.8678 0.5412
2 Pr 0.1322 0.8678 0.9588
3 Pr 0.8678 0.1322 0.0412
4 Pr 0.8678 0.1322 0.4588
5 Nd 0.3779 0.6221 0.7500
6 Nd 0.6221 0.3779 0.2500
7 Os 0.3513 0.6487 0.2500
8 Os 0.6487 0.3513 0.7500
9 N 0.0728 0.9272 0.7500
10 N 0.2265 0.7735 0.1381
11 N 0.2265 0.7735 0.3619
12 N 0.5000 0.5000 0.0000
13 N 0.5000 0.5000 0.5000
14 N 0.7735 0.2265 0.6381
15 N 0.7735 0.2265 0.8619
16 N 0.9272 0.0728 0.2500

=====

Record 8
DFT (PBE-GGA) results for a relaxed structure of GaCoSn.

Total DFT energy (no corrections)   -4.821 eV per atom
Theoretical density   8.27 Mg/m³
SG   No. 12

Lattice parameters (Å, degrees): 4.8996 4.8996 7.1318 116.78 116.78 41.45
Atoms (fractional coordinates):
1 Ga 0.1671 0.1671 0.0589
2 Ga 0.8329 0.8329 0.9411
3 Co 0.1465 0.1465 0.6885
4 Co 0.8535 0.8535 0.3115
5 Sn 0.4134 0.4134 0.6416
6 Sn 0.5866 0.5866 0.3584

=====

Computed calculated volume, in the same sequence as the records: 47.9, 567.6, 479.6, 63.1, 144.4, 118.1, 262.1, 99.3 Å³/cell.